Record 1
The following is a DFT calculation (PBE) of an optimized crystal structure of SmScIn6.

a b c (Å): 4.6092 4.6092 9.1916
angles (deg): 90.00 90.00 90.00
Space group P4/mmm (No. 123)
Asymmetric unit:
Sm 0.0000 0.0000 0.0000 x1
Sc 0.0000 0.0000 0.5000 x1
In 0.0000 0.5000 0.2594 x4
In 0.5000 0.5000 0.0000 x1
In 0.5000 0.5000 0.5000 x1

* raw total energy: -3.82 eV/atom
* magnetic moment: 0.00 μB/cell
* Fermi-level density of states: 2.34 states/eV/f.u.

=====

Record 2
The following is a DFT calculation (PBE) of an optimized crystal structure of SmSc3In.

a b c (Å): 7.4612 7.4612 5.8287
angles (deg): 90.00 90.00 120.00
Space group P6_3/mmc (No. 194)
Asymmetric unit:
Sm 0.3333 0.6667 0.2500 x2
Sc 0.1961 0.3922 0.7500 x6
In 0.0000 0.0000 0.0000 x2

* raw total energy: -5.22 eV/atom
* magnetic moment: 0.00 μB/cell
* Fermi-level density of states: 7.74 states/eV/f.u.

=====

Record 3
The following is a DFT calculation (PBE) of an optimized crystal structure of Sm5ScIn3.

a b c (Å): 9.4495 9.4495 6.7414
angles (deg): 90.00 90.00 120.00
Space group P6_3/mcm (No. 193)
Asymmetric unit:
Sm 0.0000 0.3268 0.2500 x6
Sm 0.3333 0.6667 0.0000 x4
Sc 0.0000 0.0000 0.0000 x2
In 0.0000 0.3334 0.7500 x6

* raw total energy: -4.57 eV/atom
* magnetic moment: 1.90 μB/cell
* Fermi-level density of states: 11.99 states/eV/f.u.

=====

Record 4
The following is a DFT calculation (PBE) of an optimized crystal structure of Sm5ScIn4.

a b c (Å): 3.6706 3.6706 21.1356
angles (deg): 90.00 90.00 90.00
Space group P4/mmm (No. 123)
Asymmetric unit:
Sm 0.0000 0.0000 0.0000 x1
Sm 0.0000 0.0000 0.1991 x2
Sm 0.0000 0.0000 0.3955 x2
Sc 0.5000 0.5000 0.5000 x1
In 0.5000 0.5000 0.0996 x2
In 0.5000 0.5000 0.2984 x2

* raw total energy: -4.46 eV/atom
* magnetic moment: 0.00 μB/cell
* Fermi-level density of states: 7.97 states/eV/f.u.

=====

Record 5
The following is a DFT calculation (PBE) of an optimized crystal structure of Sm4ScIn5.

a b c (Å): 3.7134 3.7134 19.5571
angles (deg): 90.00 90.00 90.00
Space group P4/mmm (No. 123)
Asymmetric unit:
Sm 0.0000 0.0000 0.1039 x2
Sm 0.0000 0.0000 0.3112 x2
Sc 0.0000 0.0000 0.5000 x1
In 0.5000 0.5000 0.0000 x1
In 0.5000 0.5000 0.2079 x2
In 0.5000 0.5000 0.4152 x2

* raw total energy: -4.37 eV/atom
* magnetic moment: 0.00 μB/cell
* Fermi-level density of states: 4.61 states/eV/f.u.

=====

Record 6
The following is a DFT calculation (PBE) of an optimized crystal structure of SmSc3In4.

a b c (Å): 10.3769 6.8444 5.3848
angles (deg): 90.00 90.00 90.00
Space group Pmma (No. 51)
Asymmetric unit:
Sm 0.0000 0.0000 0.0000 x2
Sc 0.0000 0.5000 0.0000 x2
Sc 0.2500 0.0000 0.4080 x2
Sc 0.2500 0.5000 0.3814 x2
In 0.0000 0.2646 0.5000 x4
In 0.2500 0.2642 0.8853 x4

* raw total energy: -4.76 eV/atom
* magnetic moment: 0.00 μB/cell
* Fermi-level density of states: 5.59 states/eV/f.u.